(1)
Density functional theory data (PBE-GGA) for a relaxed PmThZn2Ga2 crystal.

Summary:
Crystal system: trigonal
SG: No. 164
Energy relative to the elements: -512.4 meV/atom

Unit cell a=4.440 b=4.440 c=7.720 alpha=90.00 beta=90.00 gamma=120.00
Fractional coordinates of all 6 atoms:
Pm (0.000, 0.000, 0.000)
Th (0.000, 0.000, 0.500)
Zn (0.333, 0.667, 0.752)
Zn (0.667, 0.333, 0.248)
Ga (0.333, 0.667, 0.248)
Ga (0.667, 0.333, 0.752)

***

(2)
Density functional theory data (PBE-GGA) for a relaxed CaCd5Ag4 crystal.

Summary:
Crystal system: monoclinic
SG: No. 12
Energy relative to the elements: -98.5 meV/atom

Unit cell a=7.496 b=7.496 c=7.461 alpha=116.90 beta=116.90 gamma=36.88
Fractional coordinates of all 10 atoms:
Ca (0.000, 0.000, 0.000)
Cd (0.000, 0.000, 0.500)
Cd (0.322, 0.322, 0.265)
Cd (0.326, 0.326, 0.881)
Cd (0.674, 0.674, 0.119)
Cd (0.678, 0.678, 0.735)
Ag (0.183, 0.183, 0.443)
Ag (0.467, 0.467, 0.701)
Ag (0.533, 0.533, 0.299)
Ag (0.817, 0.817, 0.557)

***

(3)
Density functional theory data (PBE-GGA) for a relaxed TbPmI6 crystal.

Summary:
ΔE to the lowest computed polymorph: 0.000 eV/atom
Crystal system: monoclinic
SG: No. 12
ΔE_f (raw): -1380 meV/atom

Unit cell a=8.004 b=8.004 c=7.775 alpha=91.82 beta=91.82 gamma=118.26
Fractional coordinates of all 8 atoms:
Tb (0.000, 0.000, 0.000)
Pm (0.000, 0.000, 0.500)
I (0.005, 0.701, 0.747)
I (0.294, 0.294, 0.775)
I (0.299, 0.995, 0.253)
I (0.701, 0.005, 0.747)
I (0.706, 0.706, 0.225)
I (0.995, 0.299, 0.253)

***

(4)
Density functional theory data (PBE-GGA) for a relaxed TbSm3S4 crystal.

Summary:
ΔE to the lowest computed polymorph: 0.016 eV/atom
Crystal system: cubic
SG: No. 221
ΔE_f (raw): -2007 meV/atom

Unit cell a=5.643 b=5.643 c=5.643 alpha=90.00 beta=90.00 gamma=90.00
Fractional coordinates of all 8 atoms:
Tb (0.000, 0.000, 0.000)
Sm (0.000, 0.500, 0.500)
Sm (0.500, 0.000, 0.500)
Sm (0.500, 0.500, 0.000)
S (0.000, 0.000, 0.500)
S (0.000, 0.500, 0.000)
S (0.500, 0.000, 0.000)
S (0.500, 0.500, 0.500)

***

(5)
Density functional theory data (PBE-GGA) for a relaxed Cu2Te crystal.

Summary:
Crystal system: tetragonal
SG: No. 123
ΔE_f (raw): 440 meV/atom

Unit cell a=3.828 b=3.828 c=4.931 alpha=90.00 beta=90.00 gamma=90.00
Fractional coordinates of all 3 atoms:
Cu (0.000, 0.000, 0.000)
Cu (0.500, 0.500, 0.500)
Te (0.000, 0.000, 0.500)

***

(6)
Density functional theory data (PBE-GGA) for a relaxed Zn2PtI crystal.

Summary:
ΔE to the lowest computed polymorph: 0.399 eV/atom
Crystal system: cubic
SG: No. 225
ΔE_f (raw): 431 meV/atom

Unit cell a=4.793 b=4.793 c=4.793 alpha=60.00 beta=60.00 gamma=60.00
Fractional coordinates of all 4 atoms:
Zn (0.250, 0.250, 0.250)
Zn (0.750, 0.750, 0.750)
Pt (0.000, 0.000, 0.000)
I (0.500, 0.500, 0.500)

***

(7)
Density functional theory data (PBE-GGA) for a relaxed Nd5Hg4Pd crystal.

Summary:
Crystal system: tetragonal
SG: No. 123
Energy relative to the elements: -523.2 meV/atom

Unit cell a=3.795 b=3.795 c=18.956 alpha=90.00 beta=90.00 gamma=90.00
Fractional coordinates of all 10 atoms:
Nd (0.000, 0.000, 0.000)
Nd (0.000, 0.000, 0.206)
Nd (0.000, 0.000, 0.411)
Nd (0.000, 0.000, 0.589)
Nd (0.000, 0.000, 0.794)
Hg (0.500, 0.500, 0.103)
Hg (0.500, 0.500, 0.306)
Hg (0.500, 0.500, 0.694)
Hg (0.500, 0.500, 0.897)
Pd (0.500, 0.500, 0.500)

***

(8)
Density functional theory data (PBE-GGA) for a relaxed TiNb2BiS crystal.

Summary:
Crystal system: tetragonal
SG: No. 123
ΔE_f (raw): 1180 meV/atom

Unit cell a=4.793 b=4.793 c=5.196 alpha=90.00 beta=90.00 gamma=90.00
Fractional coordinates of all 5 atoms:
Ti (0.000, 0.000, 0.000)
Nb (0.000, 0.500, 0.000)
Nb (0.500, 0.000, 0.000)
Bi (0.000, 0.000, 0.500)
S (0.500, 0.500, 0.500)

***

(9)
Density functional theory data (PBE-GGA) for a relaxed Nd3Dy3Tm crystal.

Summary:
ΔE to the lowest computed polymorph: 0.000 eV/atom
Crystal system: hexagonal
SG: No. 176
Energy relative to the elements: 22.0 meV/atom

Unit cell a=9.636 b=9.636 c=5.767 alpha=90.00 beta=90.00 gamma=120.00
Fractional coordinates of all 14 atoms:
Nd (0.049, 0.243, 0.250)
Nd (0.194, 0.951, 0.250)
Nd (0.243, 0.194, 0.750)
Nd (0.757, 0.806, 0.250)
Nd (0.806, 0.049, 0.750)
Nd (0.951, 0.757, 0.750)
Dy (0.095, 0.479, 0.750)
Dy (0.384, 0.905, 0.750)
Dy (0.479, 0.384, 0.250)
Dy (0.521, 0.616, 0.750)
Dy (0.616, 0.095, 0.250)
Dy (0.905, 0.521, 0.250)
Tm (0.333, 0.667, 0.250)
Tm (0.667, 0.333, 0.750)

***

(10)
Density functional theory data (PBE-GGA) for a relaxed Pr2AlIn crystal.

Summary:
Crystal system: trigonal
SG: No. 166
Energy relative to the elements: -200.4 meV/atom

Unit cell a=9.862 b=9.862 c=9.862 alpha=22.46 beta=22.46 gamma=22.46
Fractional coordinates of all 4 atoms:
Pr (0.246, 0.246, 0.246)
Pr (0.754, 0.754, 0.754)
Al (0.500, 0.500, 0.500)
In (0.000, 0.000, 0.000)

***

(11)
Density functional theory data (PBE-GGA) for a relaxed Se2SIN crystal.

Summary:
ΔE to the lowest computed polymorph: 0.595 eV/atom
Crystal system: tetragonal
SG: No. 123
ΔE_f (raw): 1642 meV/atom

Unit cell a=5.510 b=5.510 c=3.916 alpha=90.00 beta=90.00 gamma=90.00
Fractional coordinates of all 5 atoms:
Se (0.000, 0.500, 0.000)
Se (0.500, 0.000, 0.000)
S (0.000, 0.000, 0.500)
I (0.500, 0.500, 0.000)
N (0.500, 0.500, 0.500)

***

(12)
Density functional theory data (PBE-GGA) for a relaxed LaInRu crystal.

Summary:
Crystal system: cubic
SG: No. 216
Energy relative to the elements: -188.2 meV/atom

Unit cell a=4.780 b=4.780 c=4.780 alpha=60.00 beta=60.00 gamma=60.00
Fractional coordinates of all 3 atoms:
La (0.000, 0.000, 0.000)
In (0.500, 0.500, 0.500)
Ru (0.750, 0.750, 0.750)

***

(13)
Density functional theory data (PBE-GGA) for a relaxed ScAlCo2Bi crystal.

Summary:
Crystal system: tetragonal
SG: No. 123
Energy relative to the elements: 1083.7 meV/atom

Unit cell a=4.731 b=4.731 c=5.285 alpha=90.00 beta=90.00 gamma=90.00
Fractional coordinates of all 5 atoms:
Sc (0.000, 0.000, 0.000)
Al (0.500, 0.500, 0.000)
Co (0.000, 0.500, 0.500)
Co (0.500, 0.000, 0.500)
Bi (0.500, 0.500, 0.500)

***

no.,volume (Å³/cell),DOS at the Fermi energy (states/eV per atom)
1,131.80,0.476
2,221.13,0.400
3,437.85,0.000
4,179.66,0.536
5,72.27,0.358
6,77.85,0.773
7,272.99,1.014
8,119.37,1.456
9,463.80,1.676
10,122.82,0.937
11,118.91,0.961
12,77.23,0.610
13,118.27,1.013